NpGa2Cl6: relaxed, PBE-GGA.

Raw formation energy = -1245 meV per atom

Unit cell a=6.8114 b=6.8114 c=12.8427 alpha=90.00 beta=90.00 gamma=90.00
Last column: nearest neighbours and their distance in Å.
Positions (direct):
1 Np 0.5000 0.5000 0.0000  6 Cl 2.61-2.64
2 Np 0.0000 0.0000 0.5000  6 Cl 2.61-2.64
3 Ga 0.5000 0.5000 0.3307  6 Cl 2.90-3.10
4 Ga 0.5000 0.5000 0.6693  6 Cl 2.90-3.10
5 Ga 0.0000 0.0000 0.1693  6 Cl 2.90-3.10
6 Ga 0.0000 0.0000 0.8307  6 Cl 2.90-3.10
7 Cl 0.6841 0.6841 0.1520  1 Np 2.64, 1 Ga 2.90
8 Cl 0.6841 0.6841 0.8480  1 Np 2.64, 1 Ga 2.90
9 Cl 0.7294 0.7294 0.5000  1 Np 2.61
10 Cl 0.7706 0.2294 0.0000  1 Np 2.61
11 Cl 0.8159 0.1841 0.3480  1 Np 2.64, 1 Ga 2.90
12 Cl 0.8159 0.1841 0.6520  1 Np 2.64, 1 Ga 2.90
13 Cl 0.1841 0.8159 0.3480  1 Np 2.64, 1 Ga 2.90
14 Cl 0.1841 0.8159 0.6520  1 Np 2.64, 1 Ga 2.90
15 Cl 0.2294 0.7706 0.0000  1 Np 2.61
16 Cl 0.2706 0.2706 0.5000  1 Np 2.61
17 Cl 0.3159 0.3159 0.1520  1 Np 2.64, 1 Ga 2.90
18 Cl 0.3159 0.3159 0.8480  1 Np 2.64, 1 Ga 2.90